#P
Li7Mg3 | PBE | optimized geometry

```
10
Lattice="-4.4208 0.3342 -0.7934 0.7173 -2.8491 -5.1973 0.8509 -5.7980 5.6002" Properties=species:S:1:pos:R:3 pbc="T T T"
Li 0.3587 -1.4246 -2.5987
Li -0.4711 -2.5434 1.5536
Li -2.3815 -5.7695 -1.9441
Li -0.5892 -6.5080 0.5417
Li -2.2634 -1.8049 -0.9322
Li -0.9430 -5.0272 3.1367
Li -1.9096 -3.2857 -3.5273
Mg 0.0000 0.0000 0.0000
Mg -0.1069 -3.9491 -1.0679
Mg -2.7457 -4.3638 0.6774
```

Properties
Density of states at the Fermi level   4.24 states/eV/f.u.
Total moment   0.00 Bohr magnetons per cell

#Q
Li7Mg3 | PBE | optimized geometry

```
20
Lattice="5.2363 0.0000 0.0000 0.0000 9.6187 0.0000 0.0000 -4.8094 8.3300" Properties=species:S:1:pos:R:3 pbc="T T T"
Li 4.9265 4.8094 2.7767
Li 2.3083 0.0000 5.5534
Li 4.5633 4.8093 6.3380
Li 4.5633 7.8935 0.9960
Li 4.5633 1.7252 0.9960
Li 1.9451 0.0000 1.9921
Li 1.9451 -3.0842 7.3340
Li 1.9451 3.0842 7.3340
Li 1.3338 0.0000 7.8829
Li 1.3338 2.0174 4.3886
Li 1.3338 -2.0175 4.3886
Li 3.9520 4.8094 0.4471
Li 3.9520 2.7919 3.9415
Li 3.9520 6.8268 3.9415
Mg 4.5182 0.0000 3.6383
Mg 4.5182 -1.6585 6.5109
Mg 4.5182 1.6585 6.5109
Mg 1.9001 4.8094 4.6917
Mg 1.9001 6.4678 1.8192
Mg 1.9001 3.1509 1.8192
```

Properties
Density of states at the Fermi level   4.50 states/eV/f.u.
Total moment   0.00 Bohr magnetons per cell

Energy ordering: #P at the bottom, the next structure 0.067 eV/atom above.

#P
Li5Mg2 | PBE | optimized geometry

```
7
Lattice="-2.3985 1.8391 -1.8785 0.2110 -5.3161 -2.1032 -4.9947 -1.0550 5.3445" Properties=species:S:1:pos:R:3 pbc="T T T"
Li -1.0828 -3.1669 -1.7178
Li -6.0994 -1.3652 3.0806
Li -3.5970 -2.5107 2.1347
Li -3.6966 0.3920 1.7330
Li -3.5853 -2.0214 -0.7719
Mg -1.1835 -0.8525 0.6766
Mg -5.9987 -3.6796 0.6862
```

Properties
Density of states at the Fermi level   3.50 states/eV/f.u.
Total moment   0.00 Bohr magnetons per cell

#Q
Li5Mg2 | PBE | optimized geometry

```
7
Lattice="4.8653 0.0000 0.0000 2.4326 4.2135 0.0000 2.4326 1.4045 7.0454" Properties=species:S:1:pos:R:3 pbc="T T T"
Li 2.4326 1.4045 5.5530
Li 7.2979 4.2135 4.5898
Li 4.8653 2.8090 3.5227
Li 2.4326 1.4045 2.4557
Li 7.2979 4.2135 1.4925
Mg 4.8653 2.8090 0.5822
Mg 4.8653 2.8090 6.4632
```

Properties
Density of states at the Fermi level   3.24 states/eV/f.u.
Total moment   0.00 Bohr magnetons per cell

Energy ordering: #P at the bottom, the next structure 0.010 eV/atom above.

#P
Li3Mg4 | PBE | optimized geometry

```
7
Lattice="-11.3162 -0.2807 -5.6988 -11.7457 -3.9733 -2.6201 10.6505 3.6255 5.8339" Properties=species:S:1:pos:R:3 pbc="T T T"
Mg -3.4212 -0.6311 -1.2341
Mg -9.9670 -1.8385 -3.5953
Mg -13.0949 -2.4155 -4.7236
Mg -19.6407 -3.6229 -7.0848
Li 0.0000 0.0000 0.0000
Li -6.4960 -1.1983 -2.3432
Li -16.5659 -3.0558 -5.9757
```

Properties
Density of states at the Fermi level   2.45 states/eV/f.u.
Total moment   0.00 Bohr magnetons per cell

#Q
Li3Mg4 | PBE | optimized geometry

```
7
Lattice="5.4300 0.0000 0.0000 -2.7150 4.7025 0.0000 0.0000 0.0000 5.7091" Properties=species:S:1:pos:R:3 pbc="T T T"
Li -1.3575 2.3513 0.0000
Li 1.3575 2.3513 0.0000
Li 2.7150 0.0000 0.0000
Mg 0.0000 0.0000 1.4473
Mg 0.0000 0.0000 4.2618
Mg 2.7150 1.5675 2.8545
Mg 0.0000 3.1350 2.8545
```

Properties
Density of states at the Fermi level   2.26 states/eV/f.u.
Total moment   0.00 Bohr magnetons per cell

Energy ordering: #P at the bottom, the next structure 0.034 eV/atom above.

#P
Li13Mg2 | PBE | optimized geometry

```
15
Lattice="-7.6314 0.2788 0.6007 -3.5931 -4.3259 5.2013 -3.2404 3.2972 6.1444" Properties=species:S:1:pos:R:3 pbc="T T T"
Li -7.2324 -0.3750 5.9732
Li -7.2192 -2.9077 7.3165
Li -5.0275 -0.2690 4.1438
Li -9.6826 -0.0989 4.5102
Li -4.7823 -0.6510 7.4362
Li -7.2456 2.1578 4.6299
Li -9.4374 -0.4809 7.8026
Li -6.9852 -0.7991 9.3106
Li -4.7433 1.9000 6.0653
Li -9.5050 2.0740 6.4401
Li -4.9599 -2.8239 5.5063
Li -7.4796 0.0492 2.6358
Li -9.7215 -2.6499 5.8811
Mg -7.0024 1.7574 7.9055
Mg -7.4624 -2.5073 4.0409
```

Properties
Density of states at the Fermi level   4.59 states/eV/f.u.
Total moment   0.00 Bohr magnetons per cell

#Q
Li13Mg2 | PBE | optimized geometry

```
15
Lattice="-4.7057 5.6788 3.2289 -6.0770 3.1017 -4.2742 -7.7873 -1.9324 2.0870" Properties=species:S:1:pos:R:3 pbc="T T T"
Li -9.2850 3.4240 0.5209
Li -10.2581 0.8376 0.0276
Li -11.9571 2.8880 1.1934
Li -9.7630 1.7681 2.7365
Li -8.8069 5.0800 -1.6948
Li -8.3118 6.0105 1.0141
Li -6.6128 3.9601 -0.1516
Li -8.2052 2.1657 -1.9275
Li -11.1283 5.6934 0.0783
Li -7.3534 3.7666 2.7334
Li -11.2166 3.0814 -1.6917
Li -10.3647 4.6824 2.9692
Li -7.4416 1.1547 0.9634
Mg -14.0172 5.0321 0.8334
Mg -4.5528 1.8160 0.2083
```

Properties
Density of states at the Fermi level   8.02 states/eV/f.u.
Total moment   0.00 Bohr magnetons per cell

Energy ordering: #P at the bottom, the next structure 0.129 eV/atom above.

#P
LiMg14Mn | PBE | optimized geometry

```
16
Lattice="-1.4556 3.9403 -4.6696 -4.5479 -3.2782 2.8322 -1.2382 7.5698 6.7735" Properties=species:S:1:pos:R:3 pbc="T T T"
Li -4.1343 2.9173 3.7137
Mg -1.9680 2.7442 -3.4266
Mg -3.5134 -0.8633 0.3225
Mg -1.8530 4.5703 2.2834
Mg -1.2489 0.7649 -1.0831
Mg -4.8574 4.9017 1.3639
Mg -4.2415 1.0950 -1.9990
Mg -2.0790 1.5269 1.9723
Mg -2.6670 5.1220 5.1891
Mg -5.1096 1.8612 1.0447
Mg -5.6977 5.4563 4.2616
Mg -2.7978 3.4978 -0.4436
Mg -3.3990 7.1731 2.8451
Mg -4.3444 -0.1644 3.2894
Mg -4.9579 3.5863 6.6455
Mn -2.5880 6.5271 -0.0377
```

Properties
Density of states at the Fermi level   6.27 states/eV/f.u.
Total moment   3.92 Bohr magnetons per cell

#Q
LiMg14Mn | PBE | optimized geometry

```
16
Lattice="-0.1879 -2.0292 5.9485 -0.6905 -4.0779 -4.7362 10.1045 -1.4910 -0.1895" Properties=species:S:1:pos:R:3 pbc="T T T"
Li 5.0522 -0.7455 -0.0947
Mg -0.5328 -4.0658 3.5783
Mg 4.7058 -2.7932 -2.4551
Mg -0.0944 -1.0175 2.9732
Mg 4.2695 -5.8269 -1.8529
Mg -0.4391 -3.0529 0.6092
Mg 4.6125 -3.8012 0.4998
Mg 1.8623 -4.1086 -3.0416
Mg 7.0250 -4.8704 -3.1384
Mg 2.2152 -2.0241 -0.6205
Mg 7.3780 -2.7859 -0.7173
Mg 1.7662 -5.1459 -0.0008
Mg 6.9289 -5.9077 -0.0976
Mg 2.1825 -3.0866 2.3393
Mg 7.2112 -3.8286 2.2450
Mn 0.0000 0.0000 0.0000
```

Properties
Density of states at the Fermi level   6.62 states/eV/f.u.
Total moment   3.79 Bohr magnetons per cell

Energy ordering: #Q at the bottom, the next structure 0.007 eV/atom above.

#P
LiMg2Mn2 | PBE | optimized geometry

```
5
Lattice="4.0348 0.0000 0.0000 0.0000 4.0348 0.0000 2.0174 2.0174 6.4872" Properties=species:S:1:pos:R:3 pbc="T T T"
Mg 4.0348 2.0174 3.2436
Mg 2.0174 4.0348 3.2436
Mn 2.0174 2.0174 1.2280
Mn 4.0348 4.0348 5.2592
Li 0.0000 0.0000 0.0000
```

Properties
Density of states at the Fermi level   4.98 states/eV/f.u.
Total moment   7.59 Bohr magnetons per cell

#Q
LiMg2Mn2 | PBE | optimized geometry

```
10
Lattice="-1.3491 -7.5361 0.3817 1.6975 -0.6810 -7.4440 2.8185 -0.4698 0.6857" Properties=species:S:1:pos:R:3 pbc="T T T"
Mg 2.3260 -2.1790 -4.7574
Mg 1.8376 -6.0217 -5.3831
Mg 0.8409 -6.5079 -1.6192
Mg 1.3292 -2.6652 -0.9935
Mn 0.9902 -3.6780 -6.5905
Mn -0.2145 -7.2333 -4.0746
Mn -0.6419 -4.5391 -0.4718
Mn 0.5629 -0.9837 -2.9877
Li 0.0000 0.0000 0.0000
Li 0.1742 -4.1085 -3.5311
```

Properties
Density of states at the Fermi level   2.12 states/eV/f.u.
Total moment   7.68 Bohr magnetons per cell

Energy ordering: #Q at the bottom, the next structure 0.261 eV/atom above.